(a)
Rb2IrAu GGA-PBE optimized geometry; space group = Fm-3m (225); N(E_F) = 0.304 states/eV per atom
1.0
0.000 4.140 4.140
4.140 0.000 4.140
4.140 4.140 0.000
Rb Ir Au
2 1 1
Cartesian
2.070 2.070 2.070
6.210 6.210 6.210
0.000 0.000 0.000
4.140 4.140 4.140

(b)
Rb2IrAu GGA-PBE optimized geometry; space group = I-42d (122); N(E_F) = 1.454 states/eV per atom
1.0
-6.227 6.227 2.522
6.227 -6.227 2.522
6.227 6.227 -2.522
Rb Ir Au
4 2 2
Cartesian
0.674 3.113 0.631
-3.113 5.553 1.892
-0.674 9.340 0.631
3.113 6.901 1.892
0.000 0.000 0.000
0.000 6.227 1.261
6.227 0.000 1.261
0.000 0.000 2.522

Stability verdict: (b), ahead by 0.319 eV/atom

(a)
RbSrIr2Au GGA-PBE optimized geometry; space group = P4/mmm (123); N(E_F) = 0.891 states/eV per atom
1.0
4.972 0.000 0.000
0.000 4.972 0.000
0.000 0.000 5.695
Rb Sr Ir Au
1 1 2 1
Cartesian
0.000 0.000 0.000
2.486 2.486 2.848
0.000 2.486 0.000
2.486 0.000 0.000
0.000 0.000 2.848

(b)
RbSrIr2Au GGA-PBE optimized geometry; space group = P4/mmm (123); N(E_F) = 2.009 states/eV per atom
1.0
5.299 0.000 0.000
0.000 5.299 0.000
0.000 0.000 5.950
Rb Sr Ir Au
1 1 2 1
Cartesian
0.000 0.000 0.000
2.649 2.649 2.975
0.000 2.649 2.975
2.649 0.000 2.975
2.649 2.649 0.000

Stability verdict: (b), ahead by 0.191 eV/atom